Compound: GdTm2Bi
Source: Alexandria via LeMat-Bulk
Functional: PBE-GGA
Structure: optimized geometry

## Properties
The energy relative to the lowest polymorph listed for this composition comes out at 15 meV/atom. The value obtained for the calculated density is 9.89 g/cm3.

Cell lengths 4.0697, 4.0697, 7.1362 Å; angles 90.00, 90.00, 90.00 degrees
With the nearest neighbours (Å) after each atom.
Space group P4/mmm (No. 123)
Asymmetric unit:
Gd 0.0000 0.0000 0.0000 (multiplicity 1)  8 Tm 3.45, 2 Bi 3.57
Tm 0.5000 0.5000 0.2661 (multiplicity 2)  4 Bi 3.33, 1 Tm 3.34, 4 Gd 3.45
Bi 0.0000 0.0000 0.5000 (multiplicity 1)  8 Tm 3.33, 2 Gd 3.57